No. 1
# KIn3Ir PBE optimized geometry
# Calculated volume in Å³ per cell: 145.7
# Crystal system: cubic
# Calculated total energy in eV per atom: -3.797
data_KIn3Ir
_cell_length_a 5.262
_cell_length_b 5.262
_cell_length_c 5.262
_cell_angle_alpha 90.00
_cell_angle_beta 90.00
_cell_angle_gamma 90.00
_space_group_name_H-M_alt 'P m -3 m'
_space_group_IT_number 221
_space_group_name_Hall '-P 4 2 3'
loop_
_atom_site_label
_atom_site_fract_x
_atom_site_fract_y
_atom_site_fract_z
K1 0.000 0.000 0.000
In1 0.000 0.500 0.500
Ir1 0.500 0.500 0.500


No. 2
# KZnIn2Ir PBE optimized geometry
# Calculated volume in Å³ per cell: 135.9
# Crystal system: tetragonal
# Calculated total energy in eV per atom: -3.528
data_KZnIn2Ir
_cell_length_a 5.188
_cell_length_b 5.188
_cell_length_c 5.049
_cell_angle_alpha 90.00
_cell_angle_beta 90.00
_cell_angle_gamma 90.00
_space_group_name_H-M_alt 'P 4/m m m'
_space_group_IT_number 123
_space_group_name_Hall '-P 4 2'
loop_
_atom_site_label
_atom_site_fract_x
_atom_site_fract_y
_atom_site_fract_z
K1 0.000 0.000 0.000
Zn1 0.500 0.500 0.000
In1 0.000 0.500 0.500
Ir1 0.500 0.500 0.500


No. 3
# La3InIr PBE optimized geometry
# Calculated volume in Å³ per cell: 311.5
# Crystal system: monoclinic
# Calculated total energy in eV per atom: -5.833
data_La3InIr
_cell_length_a 5.970
_cell_length_b 7.627
_cell_length_c 7.275
_cell_angle_alpha 90.00
_cell_angle_beta 109.89
_cell_angle_gamma 90.00
_space_group_name_H-M_alt 'P 1 21/m 1'
_space_group_IT_number 11
_space_group_name_Hall '-P 2yb'
loop_
_atom_site_label
_atom_site_fract_x
_atom_site_fract_y
_atom_site_fract_z
La1 0.146 0.250 0.142
La2 0.313 0.018 0.713
In1 0.207 0.750 0.316
Ir1 0.383 0.750 0.988


No. 4
# La3InIr PBE optimized geometry
# Calculated volume in Å³ per cell: 616.4
# Crystal system: orthorhombic
# Calculated total energy in eV per atom: -5.848
data_La3InIr
_cell_length_a 7.681
_cell_length_b 9.086
_cell_length_c 8.833
_cell_angle_alpha 90.00
_cell_angle_beta 90.00
_cell_angle_gamma 90.00
_space_group_name_H-M_alt 'C m m m'
_space_group_IT_number 65
_space_group_name_Hall '-C 2 2'
loop_
_atom_site_label
_atom_site_fract_x
_atom_site_fract_y
_atom_site_fract_z
La1 0.000 0.215 0.000
La2 0.236 0.500 0.312
In1 0.000 0.240 0.500
Ir1 0.194 0.500 0.000


No. 5
# LaMg4InIr2 PBE optimized geometry
# Calculated volume in Å³ per cell: 486.5
# Crystal system: orthorhombic
# Calculated total energy in eV per atom: -3.904
data_LaMg4InIr2
_cell_length_a 7.843
_cell_length_b 5.368
_cell_length_c 11.555
_cell_angle_alpha 90.00
_cell_angle_beta 90.00
_cell_angle_gamma 90.00
_space_group_name_H-M_alt 'A m m 2'
_space_group_IT_number 38
_space_group_name_Hall 'A 2 -2'
loop_
_atom_site_label
_atom_site_fract_x
_atom_site_fract_y
_atom_site_fract_z
La1 0.000 0.000 0.000
Mg1 0.316 0.000 0.284
Mg2 0.316 0.000 0.553
In1 0.000 0.000 0.696
Ir1 0.000 0.000 0.233
Ir2 0.000 0.000 0.451


No. 6
# La2In2IrPd3 PBE optimized geometry
# Calculated volume in Å³ per cell: 176.7
# Crystal system: trigonal
# Calculated total energy in eV per atom: -5.685
data_La2In2IrPd3
_cell_length_a 4.6660
_cell_length_b 4.6660
_cell_length_c 9.3700
_cell_angle_alpha 90.00
_cell_angle_beta 90.00
_cell_angle_gamma 120.00
_space_group_name_H-M_alt 'P 3 m 1'
_space_group_IT_number 156
_space_group_name_Hall 'P 3 -2"'
loop_
_atom_site_label
_atom_site_fract_x
_atom_site_fract_y
_atom_site_fract_z
La1 0.0000 0.0000 0.0000
La2 0.3333 0.6667 0.4874
In1 0.6667 0.3333 0.2549
In2 0.6667 0.3333 0.7464
Ir1 0.0000 0.0000 0.3197
Pd1 0.0000 0.0000 0.6688
Pd2 0.3333 0.6667 0.1569
Pd3 0.3333 0.6667 0.8245


No. 7
# LaPrIn2Ir4 PBE optimized geometry
# Calculated volume in Å³ per cell: 169.6
# Crystal system: hexagonal
# Calculated total energy in eV per atom: -6.644
data_LaPrIn2Ir4
_cell_length_a 4.6288
_cell_length_b 4.6288
_cell_length_c 9.1422
_cell_angle_alpha 90.00
_cell_angle_beta 90.00
_cell_angle_gamma 120.00
_space_group_name_H-M_alt 'P -6 m 2'
_space_group_IT_number 187
_space_group_name_Hall 'P -6 2'
loop_
_atom_site_label
_atom_site_fract_x
_atom_site_fract_y
_atom_site_fract_z
La1 0.0000 0.0000 0.0000
Pr1 0.6667 0.3333 0.5000
In1 0.3333 0.6667 0.2535
Ir1 0.0000 0.0000 0.3495
Ir2 0.6667 0.3333 0.1539


No. 8
# LiIn2Ir PBE optimized geometry
# Calculated volume in Å³ per cell: 338.2
# Crystal system: orthorhombic
# Calculated total energy in eV per atom: -4.271
data_LiIn2Ir
_cell_length_a 7.637
_cell_length_b 7.604
_cell_length_c 5.823
_cell_angle_alpha 90.00
_cell_angle_beta 90.00
_cell_angle_gamma 90.00
_space_group_name_H-M_alt 'P n m a'
_space_group_IT_number 62
_space_group_name_Hall '-P 2ac 2n'
loop_
_atom_site_label
_atom_site_fract_x
_atom_site_fract_y
_atom_site_fract_z
Li1 0.039 0.250 0.089
In1 0.169 0.039 0.643
Ir1 0.123 0.750 0.389


No. 9
# LiIn2Ir PBE optimized geometry
# Calculated volume in Å³ per cell: 139.0
# Crystal system: tetragonal
# Calculated total energy in eV per atom: -4.374
data_LiIn2Ir
_cell_length_a 4.617
_cell_length_b 4.617
_cell_length_c 6.521
_cell_angle_alpha 90.00
_cell_angle_beta 90.00
_cell_angle_gamma 90.00
_space_group_name_H-M_alt 'I 4/m m m'
_space_group_IT_number 139
_space_group_name_Hall '-I 4 2'
loop_
_atom_site_label
_atom_site_fract_x
_atom_site_fract_y
_atom_site_fract_z
Li1 0.000 0.000 0.000
In1 0.000 0.500 0.250
Ir1 0.000 0.000 0.500


No. 10
# LiInIr PBE optimized geometry
# Calculated volume in Å³ per cell: 194.2
# Crystal system: orthorhombic
# Calculated total energy in eV per atom: -4.722
data_LiInIr
_cell_length_a 5.285
_cell_length_b 4.474
_cell_length_c 8.215
_cell_angle_alpha 90.00
_cell_angle_beta 90.00
_cell_angle_gamma 90.00
_space_group_name_H-M_alt 'P n m a'
_space_group_IT_number 62
_space_group_name_Hall '-P 2ac 2n'
loop_
_atom_site_label
_atom_site_fract_x
_atom_site_fract_y
_atom_site_fract_z
Li1 0.179 0.250 0.199
In1 0.133 0.250 0.870
Ir1 0.135 0.250 0.526


No. 11
# LiIn2Ir PBE optimized geometry
# Calculated volume in Å³ per cell: 70.3
# Crystal system: tetragonal
# Calculated total energy in eV per atom: -4.224
data_LiIn2Ir
_cell_length_a 4.352
_cell_length_b 4.352
_cell_length_c 3.713
_cell_angle_alpha 90.00
_cell_angle_beta 90.00
_cell_angle_gamma 90.00
_space_group_name_H-M_alt 'P 4/m m m'
_space_group_IT_number 123
_space_group_name_Hall '-P 4 2'
loop_
_atom_site_label
_atom_site_fract_x
_atom_site_fract_y
_atom_site_fract_z
Li1 0.000 0.000 0.000
In1 0.000 0.500 0.500
Ir1 0.500 0.500 0.000


No. 12
# LiIn2Ir PBE optimized geometry
# Calculated volume in Å³ per cell: 76.2
# Crystal system: tetragonal
# Calculated total energy in eV per atom: -4.200
data_LiIn2Ir
_cell_length_a 3.088
_cell_length_b 3.088
_cell_length_c 7.991
_cell_angle_alpha 90.00
_cell_angle_beta 90.00
_cell_angle_gamma 90.00
_space_group_name_H-M_alt 'P 4/m m m'
_space_group_IT_number 123
_space_group_name_Hall '-P 4 2'
loop_
_atom_site_label
_atom_site_fract_x
_atom_site_fract_y
_atom_site_fract_z
Li1 0.000 0.000 0.000
In1 0.500 0.500 0.273
Ir1 0.000 0.000 0.500